Record 1
Computed, not measured: an optimized crystal structure of Ba2LiAu at the GGA-PBE level of DFT.

Results
Formation enthalpy at 0 K: -0.38 eV per atom
Energy above the lowest structure with this stoichiometry: 0.0299 eV/atom

Geometry as POSCAR:
```
Ba2LiAu
1.0
4.768 0.000 0.000
0.000 2.416 6.486
0.000 -2.416 6.486
Ba Li Au
2 1 1
direct
0.000 0.000 0.000
0.500 0.281 0.281
0.000 0.689 0.689
0.500 0.585 0.585
```

***

Record 2
Computed, not measured: an optimized crystal structure of P2RuW at the GGA-PBE level of DFT.

Results
Formation enthalpy at 0 K: -0.05 eV per atom

Geometry as POSCAR:
```
P2RuW
1.0
1.476 0.852 7.364
-1.476 0.852 7.364
0.000 -1.705 7.364
P Ru W
2 1 1
direct
0.248 0.248 0.248
0.752 0.752 0.752
0.500 0.500 0.500
0.000 0.000 0.000
```

***

Record 3
Computed, not measured: an optimized crystal structure of RuINF2 at the GGA-PBE level of DFT.

Results
Energy relative to the elements, uncorrected: 0.9882 eV/atom
Energy above the lowest structure with this stoichiometry: 1.0689 eV/atom

Geometry as POSCAR:
```
RuINF2
1.0
4.760 0.000 0.000
0.000 4.760 0.000
0.000 0.000 4.066
Ru I N F
1 1 1 2
direct
0.000 0.000 0.000
0.500 0.500 0.500
0.500 0.500 0.000
0.000 0.500 0.500
0.500 0.000 0.500
```